1.
The following is a DFT calculation (GGA-PBE) of a relaxed NbNiSnI2 crystal.

Cell: 6.0582 6.0582 4.7739 Å, 90.00 90.00 90.00°
With the nearest neighbours (Å) after each atom.
Space group P4/mmm (No. 123)
Symmetry-distinct sites (fractional):
Nb1 0.0000 0.0000 0.0000 x1  8 I 3.86, 4 Ni 4.28
Ni1 0.5000 0.5000 0.0000 x1  2 Sn 2.39
Sn1 0.5000 0.5000 0.5000 x1  2 Ni 2.39
I1 0.0000 0.5000 0.5000 x2  2 Sn 3.03

## Properties
* DOS at the Fermi energy: 7.7 states/eV/cell
* uncorrected formation energy: 1.18 eV/atom

***

2.
The following is a DFT calculation (GGA-PBE) of a relaxed NbNiTe2I crystal.

Cell: 5.0267 5.0267 5.1544 Å, 90.00 90.00 90.00°
With the nearest neighbours (Å) after each atom.
Space group P4/mmm (No. 123)
Symmetry-distinct sites (fractional):
Nb1 0.0000 0.0000 0.0000 x1  4 I 3.55, 8 Te 3.60
Ni1 0.5000 0.5000 0.5000 x1  4 Te 2.51, 2 I 2.58
Te1 0.0000 0.5000 0.5000 x2  2 Ni 2.51
I1 0.5000 0.5000 0.0000 x1  2 Ni 2.58

## Properties
* DOS at the Fermi energy: 3.9 states/eV/cell
* uncorrected formation energy: 0.68 eV/atom
* polymorph energy (0 for the lowest one): 0 kJ/mol of formula units